1.
The following is a meta-GGA SCAN calculation of RbReS2N at its PBEsol-relaxed geometry, from Alexandria via LeMat-Bulk.

Values from the calculation:
Energy ... -105.3 eV per formula unit
Raw formation energy ... 3023 meV/atom

Cell: 5.8612 5.8612 6.4622 Å, 90.00 90.00 90.00°
Last column: nearest neighbours and their distance in Å.
Positions (direct):
Rb (0.0000, 0.0000, 0.0000)  4 S 2.93, 2 Re 3.23
Re (0.0000, 0.0000, 0.5000)  2 Rb 3.23
S (0.0000, 0.5000, 0.0000)  2 Rb 2.93
S (0.5000, 0.0000, 0.0000)  2 Rb 2.93
N (0.5000, 0.5000, 0.5000)  4 Re 4.14, 8 S 4.36


2.
The following is a meta-GGA SCAN calculation of RbRhN2 at its PBEsol-relaxed geometry, from Alexandria via LeMat-Bulk.

Values from the calculation:
Energy ... -65.2 eV per formula unit
Raw formation energy ... 1967 meV/atom
Relative energy among the computed polymorphs ... 1.676 eV per atom

Cell: 4.1319 4.1319 4.1319 Å, 60.00 60.00 60.00°
Last column: nearest neighbours and their distance in Å.
Positions (direct):
Rb (0.0000, 0.0000, 0.0000)  8 N 2.53
Rh (0.5000, 0.5000, 0.5000)  8 N 2.53
N (0.2500, 0.2500, 0.2500)  4 Rh 2.53, 4 Rb 2.53
N (0.7500, 0.7500, 0.7500)  4 Rh 2.53, 4 Rb 2.53


3.
The following is a meta-GGA SCAN calculation of RbRh3N at its PBEsol-relaxed geometry, from Alexandria via LeMat-Bulk.

Values from the calculation:
Energy ... -127.8 eV per formula unit
Raw formation energy ... 699 meV/atom

Cell: 4.1957 4.1957 4.1957 Å, 90.00 90.00 90.00°
Last column: nearest neighbours and their distance in Å.
Positions (direct):
Rb (0.0000, 0.0000, 0.0000)  12 Rh 2.97
Rh (0.0000, 0.5000, 0.5000)  2 N 2.10
Rh (0.5000, 0.0000, 0.5000)  2 N 2.10
Rh (0.5000, 0.5000, 0.0000)  2 N 2.10
N (0.5000, 0.5000, 0.5000)  6 Rh 2.10


4.
The following is a meta-GGA SCAN calculation of RbRhN2 at its PBEsol-relaxed geometry, from Alexandria via LeMat-Bulk.

Values from the calculation:
Energy ... -71.9 eV per formula unit
Raw formation energy ... 291 meV/atom
Relative energy among the computed polymorphs ... 0.000 eV per atom

Cell: 5.6787 5.6787 5.6787 Å, 116.89 116.89 95.48°
Last column: nearest neighbours and their distance in Å.
Positions (direct):
Rb (0.0000, 0.0000, 0.0000)  4 N 2.92
Rb (0.7500, 0.2500, 0.5000)  4 N 2.92
Rh (0.2500, 0.7500, 0.5000)  4 N 1.88
Rh (0.5000, 0.5000, 0.0000)  4 N 1.88
N (0.2669, 0.1250, 0.6419)  2 Rh 1.88
N (0.3750, 0.7331, 0.8581)  2 Rh 1.88
N (0.4831, 0.6250, 0.3581)  2 Rh 1.88
N (0.8750, 0.5169, 0.1419)  2 Rh 1.88


5.
The following is a meta-GGA SCAN calculation of RbRhSN2 at its PBEsol-relaxed geometry, from Alexandria via LeMat-Bulk.

Values from the calculation:
Energy ... -78.9 eV per formula unit
Raw formation energy ... 767 meV/atom

Cell: 3.9466 3.9466 4.9983 Å, 90.00 90.00 90.00°
Last column: nearest neighbours and their distance in Å.
Positions (direct):
Rb (0.0000, 0.0000, 0.0000)  4 S 2.79
Rh (0.5000, 0.5000, 0.5000)  4 N 1.97
S (0.5000, 0.5000, 0.0000)  2 Rh 2.50, 4 Rb 2.79
N (0.0000, 0.5000, 0.5000)  2 Rh 1.97
N (0.5000, 0.0000, 0.5000)  2 Rh 1.97


6.
The following is a meta-GGA SCAN calculation of RbRhSeN2 at its PBEsol-relaxed geometry, from Alexandria via LeMat-Bulk.

Values from the calculation:
Energy ... -79.0 eV per formula unit
Raw formation energy ... 2829 meV/atom

Cell: 4.1410 4.1410 6.1804 Å, 90.00 90.00 90.00°
Last column: nearest neighbours and their distance in Å.
Positions (direct):
Rb (0.0000, 0.0000, 0.0000)  4 N 2.07
Rh (0.5000, 0.5000, 0.5000)  4 Se 2.93
Se (0.0000, 0.0000, 0.5000)  4 Rh 2.93, 2 Rb 3.09
N (0.0000, 0.5000, 0.0000)  2 Rb 2.07
N (0.5000, 0.0000, 0.0000)  2 Rb 2.07


7.
The following is a meta-GGA SCAN calculation of RbTcRhN2 at its PBEsol-relaxed geometry, from Alexandria via LeMat-Bulk.

Values from the calculation:
Energy ... -100.0 eV per formula unit
Raw formation energy ... 1635 meV/atom

Cell: 3.9206 3.9206 5.1768 Å, 90.00 90.00 90.00°
Last column: nearest neighbours and their distance in Å.
Positions (direct):
Rb (0.0000, 0.0000, 0.0000)  4 Tc 2.77
Tc (0.5000, 0.5000, 0.0000)  2 Rh 2.59, 4 Rb 2.77
Rh (0.5000, 0.5000, 0.5000)  4 N 1.96
N (0.0000, 0.5000, 0.5000)  2 Rh 1.96
N (0.5000, 0.0000, 0.5000)  2 Rh 1.96


8.
The following is a meta-GGA SCAN calculation of RbRuSe2N at its PBEsol-relaxed geometry, from Alexandria via LeMat-Bulk.

Values from the calculation:
Energy ... -92.9 eV per formula unit
Raw formation energy ... 2425 meV/atom

Cell: 5.5287 5.5287 4.2163 Å, 90.00 90.00 90.00°
Last column: nearest neighbours and their distance in Å.
Positions (direct):
Rb (0.0000, 0.0000, 0.0000)  2 N 2.11
Ru (0.5000, 0.5000, 0.5000)  8 Se 3.48
Se (0.0000, 0.5000, 0.0000)  2 Rb 2.76
Se (0.5000, 0.0000, 0.0000)  2 Rb 2.76
N (0.0000, 0.0000, 0.5000)  2 Rb 2.11


9.
The following is a meta-GGA SCAN calculation of Rb2RuWN at its PBEsol-relaxed geometry, from Alexandria via LeMat-Bulk.

Values from the calculation:
Energy ... -146.8 eV per formula unit
Raw formation energy ... 1692 meV/atom

Cell: 6.4699 6.4699 3.6340 Å, 90.00 90.00 90.00°
Last column: nearest neighbours and their distance in Å.
Positions (direct):
Rb (0.0000, 0.5000, 0.0000)  2 Ru 3.23
Rb (0.5000, 0.0000, 0.0000)  2 Ru 3.23
Ru (0.0000, 0.0000, 0.0000)  2 N 1.82
W (0.5000, 0.5000, 0.5000)  2 W 3.63, 8 Rb 3.71
N (0.0000, 0.0000, 0.5000)  2 Ru 1.82


10.
The following is a meta-GGA SCAN calculation of Rb3SN at its PBEsol-relaxed geometry, from Alexandria via LeMat-Bulk.

Values from the calculation:
Energy ... -80.6 eV per formula unit
Raw formation energy ... 113 meV/atom

Cell: 6.2221 6.2221 6.2221 Å, 90.00 90.00 90.00°
Last column: nearest neighbours and their distance in Å.
Positions (direct):
Rb (0.0000, 0.0000, 0.5000)  2 S 3.11
Rb (0.0000, 0.5000, 0.0000)  2 S 3.11
Rb (0.5000, 0.0000, 0.0000)  2 S 3.11
S (0.0000, 0.0000, 0.0000)  6 Rb 3.11
N (0.5000, 0.5000, 0.5000)  12 Rb 4.40


11.
The following is a meta-GGA SCAN calculation of RbSbSN2 at its PBEsol-relaxed geometry, from Alexandria via LeMat-Bulk.

Values from the calculation:
Energy ... -74.7 eV per formula unit
Raw formation energy ... 2299 meV/atom

Cell: 4.4409 4.4409 5.9163 Å, 90.00 90.00 90.00°
Last column: nearest neighbours and their distance in Å.
Positions (direct):
Rb (0.0000, 0.0000, 0.0000)  4 N 2.22
Sb (0.5000, 0.5000, 0.5000)  4 S 3.14
S (0.0000, 0.0000, 0.5000)  2 Rb 2.96, 4 Sb 3.14
N (0.0000, 0.5000, 0.0000)  2 Rb 2.22
N (0.5000, 0.0000, 0.0000)  2 Rb 2.22


12.
The following is a meta-GGA SCAN calculation of RbScSN2 at its PBEsol-relaxed geometry, from Alexandria via LeMat-Bulk.

Values from the calculation:
Energy ... -63.8 eV per formula unit
Raw formation energy ... -123 meV/atom

Cell: 4.4356 4.4356 4.9847 Å, 90.00 90.00 90.00°
Last column: nearest neighbours and their distance in Å.
Positions (direct):
Rb (0.0000, 0.0000, 0.0000)  4 S 3.14, 8 N 3.34
Sc (0.5000, 0.5000, 0.5000)  4 N 2.22
S (0.5000, 0.5000, 0.0000)  2 Sc 2.49
N (0.0000, 0.5000, 0.5000)  2 Sc 2.22
N (0.5000, 0.0000, 0.5000)  2 Sc 2.22


13.
The following is a meta-GGA SCAN calculation of RbSeSN2 at its PBEsol-relaxed geometry, from Alexandria via LeMat-Bulk.

Values from the calculation:
Energy ... -57.4 eV per formula unit
Raw formation energy ... 2329 meV/atom
Relative energy among the computed polymorphs ... 1.218 eV per atom

Cell: 4.9118 4.9118 6.5135 Å, 90.00 90.00 90.00°
Last column: nearest neighbours and their distance in Å.
Positions (direct):
Rb (0.0000, 0.0000, 0.0000)  4 N 2.46
Se (0.0000, 0.0000, 0.5000)  2 Rb 3.26, 4 S 3.47
S (0.5000, 0.5000, 0.5000)  4 Se 3.47
N (0.0000, 0.5000, 0.0000)  2 Rb 2.46
N (0.5000, 0.0000, 0.0000)  2 Rb 2.46


14.
The following is a meta-GGA SCAN calculation of RbSeSN2 at its PBEsol-relaxed geometry, from Alexandria via LeMat-Bulk.

Values from the calculation:
Energy ... -63.5 eV per formula unit
Raw formation energy ... 1111 meV/atom
Relative energy among the computed polymorphs ... 0.000 eV per atom

Cell: 4.2527 4.2527 4.8957 Å, 90.00 90.00 90.00°
Last column: nearest neighbours and their distance in Å.
Positions (direct):
Rb (0.0000, 0.0000, 0.0000)  4 S 3.01, 8 N 3.24
Se (0.5000, 0.5000, 0.5000)  4 N 2.13
S (0.5000, 0.5000, 0.0000)  2 Se 2.45
N (0.0000, 0.5000, 0.5000)  2 Se 2.13
N (0.5000, 0.0000, 0.5000)  2 Se 2.13


15.
The following is a meta-GGA SCAN calculation of RbTeSN2 at its PBEsol-relaxed geometry, from Alexandria via LeMat-Bulk.

Values from the calculation:
Energy ... -74.6 eV per formula unit
Raw formation energy ... 2319 meV/atom

Cell: 4.4823 4.4823 7.2572 Å, 90.00 90.00 90.00°
Last column: nearest neighbours and their distance in Å.
Positions (direct):
Rb (0.0000, 0.0000, 0.0000)  4 N 2.24
Te (0.0000, 0.0000, 0.5000)  4 S 3.17
S (0.5000, 0.5000, 0.5000)  4 Te 3.17
N (0.0000, 0.5000, 0.0000)  2 Rb 2.24
N (0.5000, 0.0000, 0.0000)  2 Rb 2.24